Below is a relaxed structure of MnRhO3, with properties calculated at the GGA+U level.

## Properties
Total DFT energy (no corrections), eV per cell: -28.81
Magnetic moment, μB per cell: 0.0
Crystal system: cubic

CIF file:
```
data_MnRhO3
_chemical_formula_sum 'Mn1 Rh1 O3'
_cell_length_a 3.6610
_cell_length_b 3.6610
_cell_length_c 3.6610
_cell_angle_alpha 90.00
_cell_angle_beta 90.00
_cell_angle_gamma 90.00
_space_group_name_H-M_alt 'P m -3 m'
_space_group_IT_number 221
_space_group_name_Hall '-P 4 2 3'
loop_
_atom_site_label
_atom_site_fract_x
_atom_site_fract_y
_atom_site_fract_z
Mn1 0.0000 0.0000 0.0000
Rh1 0.5000 0.5000 0.5000
O1 0.0000 0.0000 0.5000
```